No. 1
The following is a PBE calculation of an optimized crystal structure of AcAlPd3, from Alexandria.

Output
Density of states at the Fermi level in states/eV/cell: 7.0
ΔE_f in eV/atom: -0.77
M_tot in μB/f.u.: 0.0
VASP energy in eV per atom: -5.46
Crystal system: hexagonal

```
data_AcAlPd3
_chemical_formula_sum 'Ac4 Al4 Pd12'
_space_group_name_H-M_alt 'P 63/m m c'
_space_group_IT_number 194
_space_group_name_Hall '-P 6c 2c'
_cell_length_a 6.3436
_cell_length_b 6.3436
_cell_length_c 12.0849
_cell_angle_alpha 90.00
_cell_angle_beta 90.00
_cell_angle_gamma 120.00
loop_
_atom_site_label
_atom_site_type_symbol
_atom_site_fract_x
_atom_site_fract_y
_atom_site_fract_z
Ac1 Ac 0.0000 0.0000 0.0000
Ac2 Ac 0.3333 0.6667 0.2500
Al1 Al 0.3333 0.6667 0.6398
Pd1 Pd 0.0000 0.5000 0.0000
Pd2 Pd 0.1422 0.2844 0.7500
```

***

No. 2
The following is a PBE calculation of an optimized crystal structure of Ac3Al2Pd3, from Alexandria.

Output
Density of states at the Fermi level in states/eV/cell: 14.6
ΔE_f in eV/atom: -0.60
M_tot in μB/f.u.: 0.0
VASP energy in eV per atom: -5.02
Crystal system: hexagonal

```
data_Ac3Al2Pd3
_chemical_formula_sum 'Ac6 Al4 Pd6'
_space_group_name_H-M_alt 'P 63/m c m'
_space_group_IT_number 193
_space_group_name_Hall '-P 6c 2'
_cell_length_a 8.8229
_cell_length_b 8.8229
_cell_length_c 5.9902
_cell_angle_alpha 90.00
_cell_angle_beta 90.00
_cell_angle_gamma 120.00
loop_
_atom_site_label
_atom_site_type_symbol
_atom_site_fract_x
_atom_site_fract_y
_atom_site_fract_z
Ac1 Ac 0.0000 0.2749 0.2500
Al1 Al 0.3333 0.6667 0.0000
Pd1 Pd 0.0000 0.4009 0.7500
```

***

No. 3
The following is a PBE calculation of an optimized crystal structure of Ac2Al2Pd5, from Alexandria.

Output
Density of states at the Fermi level in states/eV/cell: 4.7
ΔE_f in eV/atom: -0.79
M_tot in μB/f.u.: 0.0
VASP energy in eV per atom: -5.42
Crystal system: tetragonal

```
data_Ac2Al2Pd5
_chemical_formula_sum 'Ac2 Al2 Pd5'
_space_group_name_H-M_alt 'P 4/m m m'
_space_group_IT_number 123
_space_group_name_Hall '-P 4 2'
_cell_length_a 4.542
_cell_length_b 4.542
_cell_length_c 9.134
_cell_angle_alpha 90.00
_cell_angle_beta 90.00
_cell_angle_gamma 90.00
loop_
_atom_site_label
_atom_site_type_symbol
_atom_site_fract_x
_atom_site_fract_y
_atom_site_fract_z
Ac1 Ac 0.000 0.000 0.000
Ac2 Ac 0.000 0.000 0.500
Al1 Al 0.500 0.500 0.157
Pd1 Pd 0.000 0.500 0.272
Pd2 Pd 0.500 0.500 0.500
```

***

No. 4
The following is a PBE calculation of an optimized crystal structure of AcAlPd4, from Alexandria.

Output
Density of states at the Fermi level in states/eV/cell: 5.0
ΔE_f in eV/atom: -0.76
M_tot in μB/f.u.: 0.0
VASP energy in eV per atom: -5.53
Crystal system: orthorhombic

```
data_AcAlPd4
_chemical_formula_sum 'Ac2 Al2 Pd8'
_space_group_name_H-M_alt 'P m m a'
_space_group_IT_number 51
_cell_length_a 7.903
_cell_length_b 4.027
_cell_length_c 7.227
_cell_angle_alpha 90.00
_cell_angle_beta 90.00
_cell_angle_gamma 90.00
loop_
_space_group_symop_operation_xyz
'x,y,z'
'-x,-y,-z'
'-x+1/2,-y,z'
'x+1/2,y,-z'
'x+1/2,-y,-z'
'-x+1/2,y,z'
'-x,y,-z'
'x,-y,z'
loop_
_atom_site_label
_atom_site_type_symbol
_atom_site_fract_x
_atom_site_fract_y
_atom_site_fract_z
Ac1 Ac 0.250 0.000 0.145
Al1 Al 0.250 0.000 0.699
Pd1 Pd 0.000 0.000 0.500
Pd2 Pd 0.061 0.500 0.802
Pd3 Pd 0.250 0.500 0.464
```

***

No. 5
The following is a PBE calculation of an optimized crystal structure of Ac3Al2Pd4, from Alexandria.

Output
Density of states at the Fermi level in states/eV/cell: 13.6
ΔE_f in eV/atom: -0.80
M_tot in μB/f.u.: 0.0
VASP energy in eV per atom: -5.31
Crystal system: monoclinic

```
data_Ac3Al2Pd4
_chemical_formula_sum 'Ac6 Al4 Pd8'
_space_group_name_H-M_alt 'C 1 2/m 1'
_space_group_IT_number 12
_cell_length_a 11.109
_cell_length_b 4.416
_cell_length_c 9.074
_cell_angle_alpha 90.00
_cell_angle_beta 99.84
_cell_angle_gamma 90.00
loop_
_space_group_symop_operation_xyz
'x,y,z'
'-x,-y,-z'
'-x,y,-z'
'x,-y,z'
'x+1/2,y+1/2,z'
'-x+1/2,-y+1/2,-z'
'-x+1/2,y+1/2,-z'
'x+1/2,-y+1/2,z'
loop_
_atom_site_label
_atom_site_type_symbol
_atom_site_fract_x
_atom_site_fract_y
_atom_site_fract_z
Ac1 Ac 0.000 0.000 0.000
Ac2 Ac 0.122 0.500 0.381
Al1 Al 0.182 0.500 0.793
Pd1 Pd 0.090 0.000 0.643
Pd2 Pd 0.227 0.500 0.088
```

***

No. 6
The following is a PBE calculation of an optimized crystal structure of AcAl3Pd2, from Alexandria.

Output
Density of states at the Fermi level in states/eV/cell: 3.7
ΔE_f in eV/atom: -0.79
M_tot in μB/f.u.: 0.0
VASP energy in eV per atom: -5.08
Crystal system: hexagonal

```
data_AcAl3Pd2
_chemical_formula_sum 'Ac1 Al3 Pd2'
_space_group_name_H-M_alt 'P 6/m m m'
_space_group_IT_number 191
_space_group_name_Hall '-P 6 2'
_cell_length_a 5.6720
_cell_length_b 5.6720
_cell_length_c 4.2368
_cell_angle_alpha 90.00
_cell_angle_beta 90.00
_cell_angle_gamma 120.00
loop_
_atom_site_label
_atom_site_type_symbol
_atom_site_fract_x
_atom_site_fract_y
_atom_site_fract_z
Ac1 Ac 0.0000 0.0000 0.0000
Al1 Al 0.0000 0.5000 0.5000
Pd1 Pd 0.3333 0.6667 0.0000
```

***

No. 7
The following is a PBE calculation of an optimized crystal structure of AcAl2Pd2, from Alexandria.

Output
Density of states at the Fermi level in states/eV/cell: 8.8
ΔE_f in eV/atom: -0.83
M_tot in μB/f.u.: 0.0
VASP energy in eV per atom: -5.23
Crystal system: tetragonal

```
data_AcAl2Pd2
_chemical_formula_sum 'Ac2 Al4 Pd4'
_space_group_name_H-M_alt 'P 4/n m m'
_space_group_IT_number 129
_cell_length_a 4.516
_cell_length_b 4.516
_cell_length_c 10.245
_cell_angle_alpha 90.00
_cell_angle_beta 90.00
_cell_angle_gamma 90.00
loop_
_space_group_symop_operation_xyz
'x,y,z'
'-x,-y,-z'
'-y+1/2,x,z'
'y+1/2,-x,-z'
'-x+1/2,-y+1/2,z'
'x+1/2,y+1/2,-z'
'y,-x+1/2,z'
'-y,x+1/2,-z'
'x+1/2,-y,-z'
'-x+1/2,y,z'
'-y,-x,-z'
'y,x,z'
'-x,y+1/2,-z'
'x,-y+1/2,z'
'y+1/2,x+1/2,-z'
'-y+1/2,-x+1/2,z'
loop_
_atom_site_label
_atom_site_type_symbol
_atom_site_fract_x
_atom_site_fract_y
_atom_site_fract_z
Ac1 Ac 0.250 0.250 0.248
Al1 Al 0.250 0.250 0.883
Al2 Al 0.250 0.750 0.500
Pd1 Pd 0.250 0.250 0.629
Pd2 Pd 0.250 0.750 0.000
```

***

No. 8
The following is a PBE calculation of an optimized crystal structure of Ac2Al5Pd3, from Alexandria.

Output
Density of states at the Fermi level in states/eV/cell: 24.0
ΔE_f in eV/atom: -0.74
M_tot in μB/f.u.: 0.0
VASP energy in eV per atom: -4.99
Crystal system: orthorhombic

```
data_Ac2Al5Pd3
_chemical_formula_sum 'Ac8 Al20 Pd12'
_space_group_name_H-M_alt 'I b a m'
_space_group_IT_number 72
_space_group_name_Hall '-I 2 2c'
_cell_length_a 10.708
_cell_length_b 12.559
_cell_length_c 6.332
_cell_angle_alpha 90.00
_cell_angle_beta 90.00
_cell_angle_gamma 90.00
loop_
_atom_site_label
_atom_site_type_symbol
_atom_site_fract_x
_atom_site_fract_y
_atom_site_fract_z
Ac1 Ac 0.246 0.127 0.000
Al1 Al 0.000 0.262 0.250
Al2 Al 0.000 0.500 0.250
Al3 Al 0.126 0.122 0.500
Pd1 Pd 0.000 0.000 0.250
Pd2 Pd 0.131 0.379 0.000
```

***

No. 9
The following is a PBE calculation of an optimized crystal structure of Ac2Al9Pd3, from Alexandria.

Output
Density of states at the Fermi level in states/eV/cell: 18.7
ΔE_f in eV/atom: -0.59
M_tot in μB/f.u.: 0.0
VASP energy in eV per atom: -4.70
Crystal system: monoclinic

```
data_Ac2Al9Pd3
_chemical_formula_sum 'Ac8 Al36 Pd12'
_space_group_name_H-M_alt 'C 1 2/c 1'
_space_group_IT_number 15
_cell_length_a 13.716
_cell_length_b 7.870
_cell_length_c 10.924
_cell_angle_alpha 90.00
_cell_angle_beta 114.69
_cell_angle_gamma 90.00
loop_
_space_group_symop_operation_xyz
'x,y,z'
'-x,-y,-z'
'-x,y,-z+1/2'
'x,-y,z+1/2'
'x+1/2,y+1/2,z'
'-x+1/2,-y+1/2,-z'
'-x+1/2,y+1/2,-z+1/2'
'x+1/2,-y+1/2,z+1/2'
loop_
_atom_site_label
_atom_site_type_symbol
_atom_site_fract_x
_atom_site_fract_y
_atom_site_fract_z
Ac1 Ac 0.169 0.084 0.250
Al1 Al 0.000 0.381 0.250
Al2 Al 0.060 0.093 0.929
Al3 Al 0.096 0.417 0.045
Al4 Al 0.099 0.321 0.747
Al5 Al 0.221 0.422 0.430
Pd1 Pd 0.084 0.246 0.501
Pd2 Pd 0.250 0.250 0.000
```

***

No. 10
The following is a PBE calculation of an optimized crystal structure of Ac12AlPd6, from Alexandria.

Output
Density of states at the Fermi level in states/eV/cell: 31.1
ΔE_f in eV/atom: -0.52
M_tot in μB/f.u.: 0.0
VASP energy in eV per atom: -4.95
Crystal system: cubic

```
data_Ac12AlPd6
_chemical_formula_sum 'Ac24 Al2 Pd12'
_space_group_name_H-M_alt 'I m -3'
_space_group_IT_number 204
_space_group_name_Hall '-I 2 2 3'
_cell_length_a 10.909
_cell_length_b 10.909
_cell_length_c 10.909
_cell_angle_alpha 90.00
_cell_angle_beta 90.00
_cell_angle_gamma 90.00
loop_
_atom_site_label
_atom_site_type_symbol
_atom_site_fract_x
_atom_site_fract_y
_atom_site_fract_z
Ac1 Ac 0.000 0.304 0.181
Al1 Al 0.000 0.000 0.000
Pd1 Pd 0.000 0.130 0.500
```

***

Question: Which of these has the lowest ΔE_f?
Answer: AcAl2Pd2

***

Question: Which of these has the lowest VASP energy?
Answer: AcAlPd4

***

Copy entry 10 word for word.
The following is a PBE calculation of an optimized crystal structure of Ac12AlPd6, from Alexandria.

Output
Density of states at the Fermi level in states/eV/cell: 31.1
ΔE_f in eV/atom: -0.52
M_tot in μB/f.u.: 0.0
VASP energy in eV per atom: -4.95
Crystal system: cubic

```
data_Ac12AlPd6
_chemical_formula_sum 'Ac24 Al2 Pd12'
_space_group_name_H-M_alt 'I m -3'
_space_group_IT_number 204
_space_group_name_Hall '-I 2 2 3'
_cell_length_a 10.909
_cell_length_b 10.909
_cell_length_c 10.909
_cell_angle_alpha 90.00
_cell_angle_beta 90.00
_cell_angle_gamma 90.00
loop_
_atom_site_label
_atom_site_type_symbol
_atom_site_fract_x
_atom_site_fract_y
_atom_site_fract_z
Ac1 Ac 0.000 0.304 0.181
Al1 Al 0.000 0.000 0.000
Pd1 Pd 0.000 0.130 0.500
```